Entry 1:
DFT (GGA-PBEsol) results for MgNbB2H after structural relaxation.

a = 3.4205 Å, b = 3.7534 Å, c = 3.7534 Å
α = 90.00°, β = 90.00°, γ = 90.00°
Fractional positions:
Mg 0.5000 0.0000 0.0000
H 0.0000 0.0000 0.0000
B 0.0000 0.5000 0.0000
Nb 0.5000 0.5000 0.5000
B 0.0000 0.0000 0.5000

Values from the calculation:
* E: -5.36 eV per atom

***

Entry 2:
DFT (GGA-PBEsol) results for MgNiB2P2H12O16 after structural relaxation.

a = 9.6968 Å, b = 9.6968 Å, c = 9.6968 Å
α = 99.52°, β = 99.52°, γ = 99.52°
Fractional positions:
O 0.1363 0.8766 0.8705
B 0.1929 0.0000 0.8071
H 0.4083 0.1150 0.2336
H 0.9189 0.6129 0.2276
O 0.6598 0.6564 0.9615
Mg 0.9999 0.0001 0.5000
Mg 0.0001 0.5000 0.9999
O 0.4492 0.1471 0.6455
O 0.6290 0.3622 0.6231
H 0.6102 0.9086 0.7296
H 0.0467 0.7235 0.7211
O 0.1444 0.6484 0.9497
O 0.6455 0.4492 0.1471
H 0.2704 0.0914 0.3898
H 0.2304 0.5438 0.2287
O 0.5415 0.8476 0.3501
P 0.3083 0.6917 0.5000
H 0.0914 0.3898 0.2704
H 0.7296 0.6102 0.9086
Mg 0.5000 0.9999 0.0001
P 0.6917 0.5000 0.3083
H 0.8850 0.5917 0.7664
O 0.0385 0.3436 0.3402
O 0.3436 0.3402 0.0385
O 0.1234 0.8637 0.1295
O 0.3769 0.6378 0.3710
O 0.9497 0.1444 0.6484
H 0.2789 0.2765 0.9533
O 0.3710 0.3769 0.6378
B 0.0000 0.8071 0.1929
O 0.9615 0.6598 0.6564
O 0.3545 0.8529 0.5508
Ni 0.5001 0.0000 0.4999
H 0.7724 0.3871 0.0811
H 0.2765 0.9533 0.2789
H 0.2287 0.2304 0.5438
O 0.8382 0.5388 0.8353
O 0.6531 0.1495 0.9589
O 0.8637 0.1295 0.1234
H 0.9086 0.7296 0.6102
O 0.1295 0.1234 0.8637
H 0.2336 0.4083 0.1150
O 0.6499 0.1524 0.4585
H 0.8897 0.2731 0.5816
H 0.3898 0.2704 0.0914
O 0.8556 0.0503 0.3516
P 0.5000 0.3083 0.6917
O 0.1618 0.1647 0.4612
P 0.8092 0.0000 0.1908
O 0.6231 0.6290 0.3622
H 0.3871 0.0811 0.7724
O 0.8353 0.8382 0.5388
O 0.6378 0.3710 0.3769
O 0.8476 0.3501 0.5415
B 0.3066 0.5000 0.6934
H 0.4562 0.7696 0.7713
Ni 0.0000 0.4999 0.5001
B 0.5000 0.6934 0.3066
H 0.7235 0.7211 0.0467
O 0.1647 0.4612 0.1618
O 0.8529 0.5508 0.3545
O 0.5388 0.8353 0.8382
O 0.5508 0.3545 0.8529
O 0.9589 0.6531 0.1495
O 0.0411 0.8505 0.3469
H 0.7269 0.1103 0.4184
H 0.5917 0.7664 0.8850
B 0.6934 0.3066 0.5000
O 0.1524 0.4585 0.6499
O 0.6484 0.9497 0.1444
H 0.7211 0.0467 0.7235
O 0.1471 0.6455 0.4492
O 0.3469 0.0411 0.8505
H 0.5816 0.8897 0.2731
H 0.0811 0.7724 0.3871
O 0.3622 0.6231 0.6290
H 0.1103 0.4184 0.7269
H 0.1150 0.2336 0.4083
O 0.0503 0.3516 0.8556
H 0.7713 0.4562 0.7696
B 0.8071 0.1929 0.0000
H 0.6129 0.2276 0.9189
H 0.7696 0.7713 0.4562
O 0.8705 0.1363 0.8766
H 0.2731 0.5816 0.8897
H 0.4184 0.7269 0.1103
H 0.2276 0.9189 0.6129
O 0.4585 0.6499 0.1524
O 0.1495 0.9589 0.6531
P 0.0000 0.1908 0.8092
O 0.8505 0.3469 0.0411
O 0.6564 0.9615 0.6598
Ni 0.4999 0.5001 0.0000
O 0.8766 0.8705 0.1363
O 0.4612 0.1618 0.1647
O 0.3402 0.0385 0.3436
O 0.3516 0.8556 0.0503
H 0.9533 0.2789 0.2765
H 0.5438 0.2287 0.2304
P 0.1908 0.8092 0.0000
H 0.7664 0.8850 0.5917
O 0.3501 0.5415 0.8476

Values from the calculation:
* E: -6.25 eV per atom

***

Entry 3:
DFT (GGA-PBEsol) results for Mg3BH3O6 after structural relaxation.

a = 3.1567 Å, b = 9.0133 Å, c = 9.0133 Å
α = 120.00°, β = 90.00°, γ = 90.00°
Fractional positions:
O 0.2500 0.1566 0.6017
O 0.2500 0.3983 0.5549
Mg 0.7500 0.6246 0.9675
H 0.2500 0.8274 0.9955
O 0.2500 0.4451 0.8434
H 0.7500 0.8319 0.8274
Mg 0.2500 0.9675 0.3429
H 0.2500 0.0045 0.8319
O 0.7500 0.0845 0.2892
O 0.7500 0.6017 0.4451
H 0.7500 0.1726 0.0045
O 0.2500 0.7954 0.0845
Mg 0.7500 0.0325 0.6571
B 0.7500 0.6667 0.3333
Mg 0.2500 0.6571 0.6246
O 0.7500 0.7108 0.7954
O 0.7500 0.2046 0.9155
O 0.7500 0.8434 0.3983
H 0.2500 0.1681 0.1726
O 0.2500 0.2892 0.2046
O 0.7500 0.5549 0.1566
O 0.2500 0.9155 0.7108
B 0.2500 0.3333 0.6667
H 0.7500 0.9955 0.1681
Mg 0.2500 0.3754 0.0325
Mg 0.7500 0.3429 0.3754

Values from the calculation:
* E: -6.25 eV per atom

***

Entry 4:
DFT (GGA-PBEsol) results for MgB2P2H8O13 after structural relaxation.

a = 7.6813 Å, b = 8.1488 Å, c = 14.6822 Å
α = 90.00°, β = 90.00°, γ = 90.75°
Fractional positions:
Mg 0.7523 0.2085 0.5376
O 0.0472 0.9330 0.7167
O 0.4553 0.8188 0.3703
B 0.9145 0.0636 0.7168
O 0.4246 0.4305 0.7866
O 0.7583 0.1494 0.1119
B 0.0855 0.9364 0.2832
O 0.2572 0.5152 0.2133
O 0.7428 0.9848 0.7133
H 0.7631 0.0314 0.0134
O 0.7691 0.4574 0.5409
O 0.0377 0.3046 0.9424
H 0.9517 0.7662 0.3657
O 0.4338 0.2970 0.9352
O 0.5754 0.5695 0.2134
O 0.0665 0.3246 0.1409
O 0.7583 0.6494 0.3881
O 0.5462 0.6606 0.6955
O 0.0377 0.8046 0.5576
O 0.9623 0.1954 0.4424
H 0.8104 0.0229 0.9070
H 0.2369 0.9686 0.9866
O 0.2572 0.0152 0.2867
O 0.0472 0.4330 0.7833
H 0.2360 0.4300 0.6625
Mg 0.2477 0.7915 0.4624
O 0.9282 0.1427 0.8086
Mg 0.7523 0.7085 0.9624
O 0.2422 0.2011 0.8192
P 0.9386 0.7253 0.1585
P 0.4369 0.4297 0.2125
H 0.1461 0.1155 0.4720
P 0.0614 0.7747 0.6585
O 0.0718 0.8573 0.1914
O 0.4338 0.7970 0.5648
H 0.0483 0.2338 0.6343
H 0.1896 0.4771 0.4070
P 0.5631 0.5703 0.7875
H 0.8539 0.3845 0.9720
H 0.2790 0.0684 0.5517
H 0.7640 0.5700 0.3375
H 0.9517 0.2662 0.1343
O 0.7691 0.9574 0.9591
O 0.9623 0.6954 0.0576
O 0.9335 0.1754 0.6409
H 0.3588 0.2985 0.6195
O 0.7428 0.4848 0.7867
O 0.2417 0.3506 0.6119
O 0.5447 0.1812 0.6297
O 0.2417 0.8506 0.8881
O 0.2604 0.0589 0.4859
B 0.9145 0.5636 0.7832
O 0.4553 0.3188 0.1297
H 0.2790 0.5684 0.9483
O 0.7396 0.4411 0.9859
O 0.2309 0.0426 0.0409
O 0.2604 0.5589 0.0141
P 0.4369 0.9297 0.2875
B 0.5851 0.2263 0.3386
O 0.7578 0.7989 0.1808
H 0.7210 0.9316 0.4483
P 0.9386 0.2253 0.3415
B 0.4149 0.2737 0.8386
O 0.2309 0.5426 0.4591
O 0.0718 0.3573 0.3086
B 0.5851 0.7263 0.1614
O 0.5754 0.0695 0.2866
O 0.7396 0.9411 0.5141
H 0.8104 0.5229 0.5930
H 0.2360 0.9300 0.8375
B 0.0855 0.4364 0.2168
H 0.3588 0.7985 0.8805
O 0.4538 0.3394 0.3045
O 0.5447 0.6812 0.8703
O 0.7578 0.2989 0.3192
H 0.7640 0.0700 0.1625
Mg 0.2477 0.2915 0.0376
O 0.5662 0.7030 0.0648
H 0.1896 0.9771 0.0930
O 0.9528 0.5670 0.2167
H 0.4486 0.1585 0.4526
H 0.7631 0.5314 0.4866
O 0.4538 0.8394 0.1955
H 0.1461 0.6155 0.0280
H 0.0483 0.7338 0.8657
H 0.5514 0.8415 0.5474
O 0.5462 0.1606 0.8045
O 0.5662 0.2030 0.4352
O 0.9528 0.0670 0.2833
O 0.0665 0.8246 0.3591
O 0.9335 0.6754 0.8591
B 0.4149 0.7737 0.6614
P 0.0614 0.2747 0.8415
P 0.5631 0.0703 0.7125
H 0.6412 0.7015 0.3805
O 0.9282 0.6427 0.6914
H 0.7210 0.4316 0.0517
H 0.5514 0.3415 0.9526
H 0.4486 0.6585 0.0474
O 0.2422 0.7011 0.6808
H 0.6412 0.2015 0.1195
H 0.8539 0.8845 0.5280
O 0.4246 0.9305 0.7134
H 0.2369 0.4686 0.5134

Values from the calculation:
* E: -6.51 eV per atom

***

Entry 5:
DFT (GGA-PBEsol) results for Mg3B2P2H18O20 after structural relaxation.

a = 6.2545 Å, b = 6.2740 Å, c = 9.6679 Å
α = 83.65°, β = 84.14°, γ = 72.77°
Fractional positions:
O 0.8209 0.2310 0.1285
H 0.2930 0.6708 0.1227
O 0.3883 0.3922 0.1183
P 0.8611 0.2435 0.2811
H 0.1417 0.1476 0.5723
P 0.1389 0.7565 0.7189
H 0.3234 0.3314 0.0463
O 0.7728 0.1671 0.8596
O 0.2841 0.6555 0.3707
H 0.6813 0.3264 0.5322
O 0.3558 0.7170 0.6250
O 0.9830 0.9877 0.6593
H 0.6766 0.6686 0.9537
B 0.2416 0.8657 0.2857
H 0.5280 0.8967 0.3635
H 0.4415 0.6693 0.8939
H 0.5585 0.3307 0.1061
O 0.9790 0.4263 0.2900
O 0.7789 0.7814 0.0869
H 0.7070 0.3292 0.8773
Mg 0.3181 0.3293 0.3347
O 0.2272 0.8329 0.1404
H 0.3547 0.1352 0.8553
O 0.0170 0.0123 0.3407
O 0.7631 0.7478 0.4524
H 0.4720 0.1033 0.6365
O 0.7159 0.3445 0.6293
H 0.8440 0.6151 0.3968
H 0.3187 0.6736 0.4678
O 0.4124 0.9837 0.2979
O 0.5876 0.0163 0.7021
O 0.6442 0.2830 0.3750
H 0.8600 0.6537 0.1514
O 0.1791 0.7690 0.8715
Mg 0.6819 0.6707 0.6653
B 0.7584 0.1343 0.7143
O 0.2369 0.2522 0.5476
H 0.8583 0.8524 0.4277
Mg 0.0000 0.0000 0.0000
O 0.0210 0.5737 0.7100
O 0.6117 0.6078 0.8817
H 0.1400 0.3463 0.8486
O 0.2211 0.2186 0.9131
H 0.6453 0.8648 0.1447
H 0.1560 0.3849 0.6032

Values from the calculation:
* E: -6.03 eV per atom

***

Entry 6:
DFT (GGA-PBEsol) results for MgBPH6O8 after structural relaxation.

a = 9.7335 Å, b = 9.7335 Å, c = 9.7335 Å
α = 99.42°, β = 99.42°, γ = 99.42°
Fractional positions:
O 0.5902 0.5845 0.2886
O 0.2114 0.9155 0.9098
O 0.2091 0.9036 0.3997
H 0.1362 0.5235 0.8325
O 0.1008 0.8004 0.6056
O 0.4155 0.7114 0.4098
O 0.4098 0.4155 0.7114
H 0.7073 0.0193 0.0226
H 0.5161 0.3428 0.6360
H 0.0161 0.1360 0.8428
H 0.0193 0.0226 0.7073
O 0.3870 0.1273 0.1211
O 0.6130 0.8727 0.8789
B 0.2500 0.0571 0.4429
O 0.8004 0.6056 0.1008
O 0.5845 0.2886 0.5902
O 0.1996 0.3944 0.8992
O 0.6273 0.8870 0.6211
P 0.9408 0.7500 0.5592
H 0.9839 0.8640 0.1572
Mg 0.2500 0.7506 0.7494
O 0.8992 0.1996 0.3944
O 0.1273 0.1211 0.3870
H 0.1572 0.9839 0.8640
O 0.0902 0.7886 0.0845
O 0.3004 0.6008 0.1056
H 0.5226 0.5193 0.2073
P 0.4408 0.0592 0.2500
O 0.8997 0.4036 0.7091
H 0.0235 0.6362 0.3325
O 0.0845 0.0902 0.7886
H 0.9774 0.2927 0.9807
H 0.5193 0.2073 0.5226
H 0.6675 0.9765 0.3638
O 0.5964 0.2909 0.1003
B 0.0571 0.4429 0.2500
B 0.7500 0.9429 0.5571
O 0.7114 0.4098 0.4155
B 0.9429 0.5571 0.7500
Mg 0.7500 0.2494 0.2506
O 0.3997 0.2091 0.9036
O 0.6008 0.1056 0.3004
H 0.7927 0.4774 0.4807
O 0.9036 0.3997 0.2091
H 0.9807 0.9774 0.2927
B 0.5571 0.7500 0.9429
H 0.8325 0.1362 0.5235
H 0.4774 0.4807 0.7927
O 0.8789 0.6130 0.8727
O 0.6003 0.7909 0.0964
O 0.7091 0.8997 0.4036
H 0.6360 0.5161 0.3428
H 0.6572 0.3640 0.4839
O 0.8944 0.6996 0.3992
H 0.4807 0.7927 0.4774
O 0.3944 0.8992 0.1996
H 0.8638 0.4765 0.1675
H 0.3640 0.4839 0.6572
H 0.5235 0.8325 0.1362
O 0.7909 0.0964 0.6003
P 0.5592 0.9408 0.7500
H 0.3325 0.0235 0.6362
H 0.2073 0.5226 0.5193
O 0.3992 0.8944 0.6996
O 0.1003 0.5964 0.2909
H 0.4765 0.1675 0.8638
O 0.2886 0.5902 0.5845
H 0.1360 0.8428 0.0161
H 0.8428 0.0161 0.1360
O 0.7886 0.0845 0.0902
O 0.3727 0.1130 0.3789
O 0.1056 0.3004 0.6008
H 0.1675 0.8638 0.4765
P 0.7500 0.5592 0.9408
H 0.6362 0.3325 0.0235
H 0.8640 0.1572 0.9839
Mg 0.2494 0.2506 0.7500
O 0.8727 0.8789 0.6130
O 0.3789 0.3727 0.1130
H 0.3638 0.6675 0.9765
Mg 0.7494 0.2500 0.7506
B 0.4429 0.2500 0.0571
H 0.9765 0.3638 0.6675
H 0.0226 0.7073 0.0193
O 0.9098 0.2114 0.9155
O 0.6211 0.6273 0.8870
O 0.4036 0.7091 0.8997
O 0.9155 0.9098 0.2114
O 0.0964 0.6003 0.7909
O 0.6056 0.1008 0.8004
Mg 0.7506 0.7494 0.2500
H 0.4839 0.6572 0.3640
O 0.1130 0.3789 0.3727
P 0.2500 0.4408 0.0592
O 0.8870 0.6211 0.6273
O 0.2909 0.1003 0.5964
O 0.6996 0.3992 0.8944
H 0.2927 0.9807 0.9774
Mg 0.2506 0.7500 0.2494
H 0.3428 0.6360 0.5161
P 0.0592 0.2500 0.4408
O 0.1211 0.3870 0.1273

Values from the calculation:
* E: -6.27 eV per atom

***

Q: The lowest E belongs to which entry?
A: MgB2P2H8O13

***

Q: Number 5 is which compound?
A: Mg3B2P2H18O20

***

Q: Among the records above, which one has the highest E?
A: MgNbB2H